# YbSn2BiO7, relaxed, DFT PBE
data_YbSn2BiO7
_chemical_formula_sum 'Yb4 Sn8 Bi4 O28'
_symmetry_space_group_name_H-M 'I m m a'
_symmetry_Int_Tables_number 74
_symmetry_space_group_name_Hall '-I 2b 2'
_cell_length_a 7.499
_cell_length_b 7.516
_cell_length_c 10.628
_cell_angle_alpha 90.00
_cell_angle_beta 90.00
_cell_angle_gamma 90.00
loop_
_atom_site_label
_atom_site_type_symbol
_atom_site_fract_x
_atom_site_fract_y
_atom_site_fract_z
_atom_site_occupancy
Yb1 Yb 0.000 0.000 0.000 1
Sn1 Sn 0.000 0.000 0.500 1
Sn2 Sn 0.250 0.250 0.250 1
Bi1 Bi 0.250 0.250 0.750 1
O1 O 0.000 0.250 0.165 1
O2 O 0.000 0.250 0.585 1
O3 O 0.000 0.250 0.880 1
O4 O 0.212 0.041 0.376 1
# DOS at the Fermi energy: 36.01 states/eV/cell
# DFT total energy: -6.22 eV per atom
# energy relative to the elements, uncorrected: -1.850 eV per atom

# AgGeP2S, relaxed, DFT PBE
data_AgGeP2S
_chemical_formula_sum 'Ag1 Ge1 P2 S1'
_symmetry_space_group_name_H-M 'P 4/m m m'
_symmetry_Int_Tables_number 123
_symmetry_space_group_name_Hall '-P 4 2'
_cell_length_a 4.732
_cell_length_b 4.732
_cell_length_c 4.741
_cell_angle_alpha 90.00
_cell_angle_beta 90.00
_cell_angle_gamma 90.00
loop_
_atom_site_label
_atom_site_type_symbol
_atom_site_fract_x
_atom_site_fract_y
_atom_site_fract_z
_atom_site_occupancy
Ag1 Ag 0.000 0.000 0.000 1
Ge1 Ge 0.500 0.500 0.500 1
P1 P 0.000 0.500 0.500 1
S1 S 0.500 0.500 0.000 1
# DOS at the Fermi energy: 3.91 states/eV/cell
# DFT total energy: -3.59 eV per atom
# energy relative to the elements, uncorrected: 0.897 eV per atom
# energy above the most stable polymorph in this dataset: 0 meV per atom

# Na2CeHfTe4, relaxed, DFT PBE
data_Na2CeHfTe4
_chemical_formula_sum 'Na2 Ce1 Hf1 Te4'
_symmetry_space_group_name_H-M 'P 1 2/m 1'
_symmetry_Int_Tables_number 10
_symmetry_space_group_name_Hall '-P 2y'
_cell_length_a 7.497
_cell_length_b 4.292
_cell_length_c 8.060
_cell_angle_alpha 90.00
_cell_angle_beta 107.65
_cell_angle_gamma 90.00
loop_
_atom_site_label
_atom_site_type_symbol
_atom_site_fract_x
_atom_site_fract_y
_atom_site_fract_z
_atom_site_occupancy
Na1 Na 0.000 0.000 0.000 1
Na2 Na 0.500 0.500 0.000 1
Ce1 Ce 0.000 0.500 0.500 1
Hf1 Hf 0.500 0.000 0.500 1
Te1 Te 0.266 0.000 0.737 1
Te2 Te 0.278 0.500 0.275 1
# DOS at the Fermi energy: 8.87 states/eV/cell
# DFT total energy: -4.90 eV per atom
# energy relative to the elements, uncorrected: -1.013 eV per atom

# ZrAlAg, relaxed, DFT PBE
data_ZrAlAg
_chemical_formula_sum 'Zr4 Al4 Ag4'
_symmetry_space_group_name_H-M 'C m c m'
_symmetry_Int_Tables_number 63
_symmetry_space_group_name_Hall '-C 2c 2'
_cell_length_a 3.167
_cell_length_b 16.226
_cell_length_c 4.379
_cell_angle_alpha 90.00
_cell_angle_beta 90.00
_cell_angle_gamma 90.00
loop_
_atom_site_label
_atom_site_type_symbol
_atom_site_fract_x
_atom_site_fract_y
_atom_site_fract_z
_atom_site_occupancy
Zr1 Zr 0.000 0.111 0.250 1
Al1 Al 0.000 0.456 0.250 1
Ag1 Ag 0.000 0.291 0.250 1
# DOS at the Fermi energy: 4.99 states/eV/cell
# DFT total energy: -5.33 eV per atom

# ErTa3, relaxed, DFT PBE
data_ErTa3
_chemical_formula_sum 'Er4 Ta12'
_symmetry_space_group_name_H-M 'F m -3 m'
_symmetry_Int_Tables_number 225
_symmetry_space_group_name_Hall '-F 4 2 3'
_cell_length_a 6.848
_cell_length_b 6.848
_cell_length_c 6.848
_cell_angle_alpha 90.00
_cell_angle_beta 90.00
_cell_angle_gamma 90.00
loop_
_atom_site_label
_atom_site_type_symbol
_atom_site_fract_x
_atom_site_fract_y
_atom_site_fract_z
_atom_site_occupancy
Er1 Er 0.000 0.000 0.000 1
Ta1 Ta 0.000 0.000 0.500 1
Ta2 Ta 0.250 0.250 0.250 1
# DOS at the Fermi energy: 28.51 states/eV/cell
# DFT total energy: -9.67 eV per atom